An optimized crystal structure of Ta2TiCdN, computed with PBE.

```
Ta2TiCdN
1.0
-3.9363 1.0834 -2.8541
-2.7050 -3.1282 2.5433
-1.2714 3.6522 3.1399
N Cd Ti Ta
1 1 1 2
direct
0.5000 0.5000 0.5000 N
0.0000 0.0000 0.0000 Cd
0.0000 0.5000 0.0000 Ti
0.0000 0.0000 0.5000 Ta
0.5000 0.0000 0.0000 Ta
```

Properties
Spin magnetization = 1.08 μB/f.u.
Uncorrected formation energy = 2.982 eV/atom
Crystal system = tetragonal
VASP energy = -25.93 eV for the cell shown